(1)
A PBEsol-optimized structure of Mn2V3CrP6O24. Source: Alexandria via LeMat-Bulk, functional SCAN.

formation energy without anion corrections: -243 kJ per mole of atoms

extended XYZ file:
```
36
Lattice="4.2496 2.4535 6.8985 -4.2496 2.4535 6.8985 0.0000 -4.9070 6.8985" Properties=species:S:1:pos:R:3 pbc="T T T"
Mn 0.0000 0.0000 0.0000
Mn 0.0000 0.0000 10.3350
V 0.0000 0.0000 2.9479
V 0.0000 0.0000 7.3850
V 0.0000 0.0000 13.3023
Cr 0.0000 0.0000 17.7690
P -1.7897 -2.4512 8.6361
P -3.0137 0.3094 12.0673
P -1.2279 2.7755 8.6361
P 1.2389 -2.7646 12.0673
P 3.0176 -0.3243 8.6361
P 1.7748 2.4552 12.0673
O -2.6129 -2.4341 9.9051
O -0.8712 -3.7057 8.5147
O -3.6507 -1.0942 12.1994
O -1.6093 -0.0280 6.4310
O -3.4426 1.0558 10.8024
O -0.8532 -1.2069 8.7147
O -2.7736 2.6073 8.5147
O 0.8289 -1.3797 6.4310
O 0.8069 -3.5093 10.8024
O -1.4715 0.1471 11.9571
O -0.6186 1.3423 8.7147
O 0.7804 1.4077 6.4310
O -0.8091 -1.4046 14.2495
O 0.6084 -1.3479 11.9571
O 1.4718 -0.1355 8.7147
O -0.8016 3.4798 9.9051
O -0.8119 1.4030 14.2495
O 2.7730 -2.6145 12.1994
O 0.8631 1.2008 11.9571
O 3.4144 -1.0457 9.9051
O 1.6210 0.0016 14.2495
O 3.6448 1.0984 8.5147
O 0.8777 3.7087 12.1994
O 2.6357 2.4534 10.8024
```

(2)
A PBEsol-optimized structure of V3CuP4O16. Source: Alexandria via LeMat-Bulk, functional SCAN.

formation energy without anion corrections: -230 kJ per mole of atoms

extended XYZ file:
```
24
Lattice="4.7911 0.0000 0.0000 0.0000 5.7392 0.0000 -0.1471 0.0000 9.7802" Properties=species:S:1:pos:R:3 pbc="T T T"
V 0.0000 0.0000 0.0000
V 0.3067 2.8696 5.3294
V 2.7341 0.0000 4.9557
Cu 2.3129 2.8696 0.5136
P 0.6430 0.0000 6.6858
P 2.0349 0.0000 1.7326
P 3.0223 2.8696 3.5904
P 4.5755 2.8696 8.4848
O 0.9772 0.0000 8.1622
O 1.2526 1.1667 1.0425
O 1.2526 4.5725 1.0425
O 1.2863 2.8696 8.6164
O 1.3512 1.1889 5.9070
O 1.3512 4.5503 5.9070
O 1.5257 2.8696 3.8798
O 1.8617 0.0000 3.2502
O 3.3526 2.8696 2.1340
O 3.5192 0.0000 1.4037
O 3.7394 1.6815 4.3879
O 3.7394 4.0576 4.3879
O 3.9343 0.0000 6.4385
O 3.8901 1.6272 9.1653
O 3.8901 4.1119 9.1653
O 4.2063 2.8696 6.9813
```

Question: Among the records above, which one has the lowest formation energy without anion corrections?
Answer: Mn2V3CrP6O24

Copy entry 1 word for word.
A PBEsol-optimized structure of Mn2V3CrP6O24. Source: Alexandria via LeMat-Bulk, functional SCAN.

formation energy without anion corrections: -243 kJ per mole of atoms

extended XYZ file:
```
36
Lattice="4.2496 2.4535 6.8985 -4.2496 2.4535 6.8985 0.0000 -4.9070 6.8985" Properties=species:S:1:pos:R:3 pbc="T T T"
Mn 0.0000 0.0000 0.0000
Mn 0.0000 0.0000 10.3350
V 0.0000 0.0000 2.9479
V 0.0000 0.0000 7.3850
V 0.0000 0.0000 13.3023
Cr 0.0000 0.0000 17.7690
P -1.7897 -2.4512 8.6361
P -3.0137 0.3094 12.0673
P -1.2279 2.7755 8.6361
P 1.2389 -2.7646 12.0673
P 3.0176 -0.3243 8.6361
P 1.7748 2.4552 12.0673
O -2.6129 -2.4341 9.9051
O -0.8712 -3.7057 8.5147
O -3.6507 -1.0942 12.1994
O -1.6093 -0.0280 6.4310
O -3.4426 1.0558 10.8024
O -0.8532 -1.2069 8.7147
O -2.7736 2.6073 8.5147
O 0.8289 -1.3797 6.4310
O 0.8069 -3.5093 10.8024
O -1.4715 0.1471 11.9571
O -0.6186 1.3423 8.7147
O 0.7804 1.4077 6.4310
O -0.8091 -1.4046 14.2495
O 0.6084 -1.3479 11.9571
O 1.4718 -0.1355 8.7147
O -0.8016 3.4798 9.9051
O -0.8119 1.4030 14.2495
O 2.7730 -2.6145 12.1994
O 0.8631 1.2008 11.9571
O 3.4144 -1.0457 9.9051
O 1.6210 0.0016 14.2495
O 3.6448 1.0984 8.5147
O 0.8777 3.7087 12.1994
O 2.6357 2.4534 10.8024
```